The following is a SCAN calculation of MgBiS2N at its PBEsol-relaxed geometry, from Alexandria.

Properties
calculated total energy: -21.724 eV per atom
E_form (uncorrected): 696 meV/atom

Cell lengths 4.162, 5.188, 5.188 Å; angles 90.00, 90.00, 90.00 degrees
Last column: magnetic moment on the atom in μB.
Element x y z (fractional)
Mg  0.500  0.500  0.500  0.00
S  0.000  0.000  0.500  0.06
S  0.000  0.500  0.000  0.06
Bi  0.000  0.000  0.000  -0.06
N  0.500  0.000  0.000  0.51